Material: CrTeSeF2
Method: DFT, GGA+U
State: relaxed

total energy = -25.121 eV for the cell shown
ρ = 4.91 g/cm³

The structure in POSCAR format:
```
CrTeSeF2
1.0
-0.2936 -2.9125 2.7042
1.8825 -2.4900 -2.4774
5.5470 1.7351 2.4711
Te Cr Se F
1 1 1 2
direct
0.0000 0.0000 0.5000 Te
0.0000 0.0000 0.0000 Cr
0.5000 0.5000 0.5000 Se
0.0000 0.5000 0.0000 F
0.5000 0.0000 0.0000 F
```